(1)
The following is a PBE calculation of a relaxed structure of Nd4Sb2TeP, from Alexandria.

Lattice parameters (Å, degrees): 4.420 7.658 7.705 70.74 90.00 90.00
Fractional coordinates of all 8 atoms:
Nd  0.000  0.745  0.736
Nd  0.000  0.255  0.264
Nd  0.500  0.736  0.268
Nd  0.500  0.264  0.732
Sb  0.000  0.000  0.000
Sb  0.500  0.000  0.500
Te  0.500  0.500  0.000
P  0.000  0.500  0.500

Computed properties:
- E_tot: -5.82 eV/atom
- Total magnetic moment: 0.00 Bohr magnetons per cell
- ΔE_f (raw): -1.341 eV/atom

(2)
The following is a PBE calculation of a relaxed structure of Nd6Sb3TeP2, from Alexandria.

Lattice parameters (Å, degrees): 4.384 8.854 9.831 102.91 102.88 90.00
Fractional coordinates of all 12 atoms:
Nd  0.328  0.896  0.657
Nd  0.672  0.571  0.345
Nd  0.672  0.104  0.343
Nd  0.009  0.260  0.019
Nd  0.991  0.740  0.981
Nd  0.328  0.429  0.655
Sb  0.500  0.500  0.000
Sb  0.838  0.167  0.676
Sb  0.162  0.833  0.324
Te  0.500  0.000  0.000
P  0.831  0.665  0.662
P  0.169  0.335  0.338

Computed properties:
- E_tot: -5.92 eV/atom
- Total magnetic moment: 0.00 Bohr magnetons per cell
- ΔE_f (raw): -1.345 eV/atom

(3)
The following is a PBE calculation of a relaxed structure of Nd8Sb3Te4P, from Alexandria.

Lattice parameters (Å, degrees): 8.924 8.987 8.924 119.77 120.00 90.00
Fractional coordinates of all 16 atoms:
Nd  0.234  0.729  0.994
Nd  0.234  0.729  0.469
Nd  0.253  0.260  0.506
Nd  0.760  0.729  0.994
Nd  0.240  0.271  0.006
Nd  0.747  0.740  0.494
Nd  0.766  0.271  0.531
Nd  0.766  0.271  0.006
Sb  0.500  0.500  0.000
Sb  0.500  0.500  0.500
Sb  0.000  0.500  0.500
Te  0.500  0.000  0.000
Te  0.500  0.000  0.500
Te  0.000  0.000  0.000
Te  0.000  0.000  0.500
P  0.000  0.500  0.000

Computed properties:
- E_tot: -5.67 eV/atom
- Total magnetic moment: 0.00 Bohr magnetons per cell
- ΔE_f (raw): -1.391 eV/atom

(4)
The following is a PBE calculation of a relaxed structure of Nd4SbTe2P, from Alexandria.

Lattice parameters (Å, degrees): 4.385 7.652 7.767 108.97 90.00 90.00
Fractional coordinates of all 8 atoms:
Nd  0.500  0.225  0.220
Nd  0.500  0.775  0.780
Nd  0.000  0.240  0.771
Nd  0.000  0.760  0.229
Sb  0.500  0.500  0.000
Te  0.500  0.000  0.500
Te  0.000  0.500  0.500
P  0.000  0.000  0.000

Computed properties:
- E_tot: -5.80 eV/atom
- Total magnetic moment: 0.00 Bohr magnetons per cell
- ΔE_f (raw): -1.440 eV/atom

(5)
The following is a PBE calculation of a relaxed structure of NdThSbP, from Alexandria.

Lattice parameters (Å, degrees): 4.266 4.265 7.789 90.00 105.88 120.00
Fractional coordinates of all 4 atoms:
Nd  0.949  0.372  0.336
Th  0.325  0.561  0.901
Sb  0.473  0.134  0.622
P  0.131  0.964  0.110

Computed properties:
- E_tot: -6.65 eV/atom
- Total magnetic moment: 0.00 Bohr magnetons per cell
- ΔE_f (raw): -1.223 eV/atom

(6)
The following is a PBE calculation of a relaxed structure of NdSc2P, from Alexandria.

Lattice parameters (Å, degrees): 3.633 3.633 9.084 78.46 78.46 60.00
Fractional coordinates of all 4 atoms:
Sc  0.277  0.277  0.169
Sc  0.723  0.723  0.831
P  0.000  0.000  0.000
Nd  0.500  0.500  0.500

Computed properties:
- Calculated formation energy: -0.666 eV per atom
- E_tot: -6.38 eV/atom
- Total magnetic moment: 0.00 Bohr magnetons per cell